{"formula": "La3TlRu", "functional": "GGA-PBE", "state": "relaxed", "energy_ev_per_cell": -111.12, "magmom_total_mub_per_atom": 0.00, "relative_energy_mev_per_atom": 118, "spacegroup": "Pnma", "formation_enthalpy_0k_mev_per_atom": -271, "cell": [[6.799, 0.000, 0.000], [0.000, 9.966, 0.000], [0.000, 0.000, 8.606]], "species": ["La", "La", "La", "La", "La", "La", "La", "La", "La", "La", "La", "La", "Tl", "Tl", "Tl", "Tl", "Ru", "Ru", "Ru", "Ru"], "fractional_positions": [[0.922, 0.048, 0.198], [0.078, 0.548, 0.802], [0.303, 0.750, 0.095], [0.422, 0.048, 0.302], [0.922, 0.452, 0.198], [0.803, 0.750, 0.405], [0.697, 0.250, 0.905], [0.578, 0.952, 0.698], [0.197, 0.250, 0.595], [0.422, 0.452, 0.302], [0.078, 0.952, 0.802], [0.578, 0.548, 0.698], [0.271, 0.750, 0.500], [0.729, 0.250, 0.500], [0.229, 0.250, 0.000], [0.771, 0.750, 0.000], [0.000, 0.000, 0.500], [0.000, 0.500, 0.500], [0.500, 0.500, 0.000], [0.500, 0.000, 0.000]]}